Record 1
An optimized crystal structure of FeB2PBr. Source: Alexandria, functional GGA-PBE.

Cell lengths 4.0618, 4.4891, 4.0618 Å; angles 90.00, 90.00, 90.00 degrees
Atoms (fractional coordinates):
P (0.5000, 0.5000, 0.5000)
B (0.0000, 0.0000, 0.5000)
B (0.5000, 0.0000, 0.0000)
Fe (0.0000, 0.5000, 0.0000)
Br (0.0000, 0.0000, 0.0000)

Total energy   -17.003 eV per cell


Record 2
An optimized crystal structure of FeBPbBr2. Source: Alexandria, functional GGA-PBE.

Cell lengths 4.7224, 4.7224, 5.1495 Å; angles 90.00, 90.00, 90.00 degrees
Atoms (fractional coordinates):
Pb (0.0000, 0.0000, 0.5000)
B (0.0000, 0.0000, 0.0000)
Fe (0.5000, 0.5000, 0.5000)
Br (0.0000, 0.5000, 0.0000)
Br (0.5000, 0.0000, 0.0000)

Total energy   -17.169 eV per cell


Record 3
An optimized crystal structure of Rb2FeBBr6. Source: Alexandria, functional GGA-PBE.

Cell lengths 8.0657, 8.0657, 7.5432 Å; angles 57.68, 57.68, 90.00 degrees
Atoms (fractional coordinates):
B (0.5000, 0.5000, 0.0000)
Br (0.3103, 0.3103, 0.3794)
Br (0.6897, 0.6897, 0.6206)
Br (0.2217, 0.2217, 0.0000)
Br (0.7783, 0.7783, 0.0000)
Br (0.7783, 0.2217, 0.0000)
Br (0.2217, 0.7783, 0.0000)
Rb (0.7500, 0.2500, 0.5000)
Rb (0.2500, 0.7500, 0.5000)
Fe (0.0000, 0.0000, 0.0000)

Total energy   -33.072 eV per cell


Record 4
An optimized crystal structure of FeBSe2Br. Source: Alexandria, functional GGA-PBE.

Cell lengths 4.6699, 4.6699, 5.3349 Å; angles 90.00, 90.00, 90.00 degrees
Atoms (fractional coordinates):
B (0.5000, 0.5000, 0.5000)
Se (0.0000, 0.5000, 0.0000)
Se (0.5000, 0.0000, 0.0000)
Br (0.0000, 0.0000, 0.5000)
Fe (0.0000, 0.0000, 0.0000)

Total energy   -18.683 eV per cell


Record 5
An optimized crystal structure of FeBSeBr2. Source: Alexandria, functional GGA-PBE.

Cell lengths 4.5802, 4.5802, 4.7178 Å; angles 90.00, 90.00, 90.00 degrees
Atoms (fractional coordinates):
B (0.0000, 0.0000, 0.0000)
Se (0.0000, 0.0000, 0.5000)
Br (0.0000, 0.5000, 0.0000)
Br (0.5000, 0.0000, 0.0000)
Fe (0.5000, 0.5000, 0.5000)

Total energy   -17.487 eV per cell


Record 6
An optimized crystal structure of FeBSe2Br. Source: Alexandria, functional GGA-PBE.

Cell lengths 5.2340, 5.2340, 4.0928 Å; angles 90.00, 90.00, 90.00 degrees
Atoms (fractional coordinates):
B (0.0000, 0.0000, 0.5000)
Se (0.0000, 0.5000, 0.0000)
Se (0.5000, 0.0000, 0.0000)
Br (0.0000, 0.0000, 0.0000)
Fe (0.5000, 0.5000, 0.5000)

Total energy   -15.463 eV per cell


Record 7
An optimized crystal structure of FeBSeBr2. Source: Alexandria, functional GGA-PBE.

Cell lengths 5.0973, 5.0973, 4.4128 Å; angles 90.00, 90.00, 90.00 degrees
Atoms (fractional coordinates):
B (0.5000, 0.5000, 0.5000)
Se (0.0000, 0.0000, 0.5000)
Br (0.0000, 0.5000, 0.0000)
Br (0.5000, 0.0000, 0.0000)
Fe (0.0000, 0.0000, 0.0000)

Total energy   -16.819 eV per cell


Record 8
An optimized crystal structure of FeBSe2Br. Source: Alexandria, functional GGA-PBE.

Cell lengths 4.4911, 4.4911, 4.6320 Å; angles 90.00, 90.00, 90.00 degrees
Atoms (fractional coordinates):
B (0.0000, 0.0000, 0.0000)
Se (0.0000, 0.5000, 0.0000)
Se (0.5000, 0.0000, 0.0000)
Br (0.0000, 0.0000, 0.5000)
Fe (0.5000, 0.5000, 0.5000)

Total energy   -19.209 eV per cell